No. 1
LiFeSb6: optimized geometry, PBE-GGA.

Output
- raw formation energy (eV/atom) = -0.017
- calculated volume (Å³/f.u.) = 209.7
- N(E_F) (states/eV per atom) = 0.583
- total DFT energy (no corrections) (eV per atom) = -4.41

Structure (POSCAR):
```
LiFeSb6
1.0
-2.8670 4.4996 -5.9489
4.3479 -6.0477 -2.8943
-6.5074 -3.2108 4.1534
Li Fe Sb
2 2 12
Direct
0.0000 0.5000 0.0000
0.5000 0.0000 0.0000
0.0000 0.0000 0.5000
0.5000 0.5000 0.5000
0.1516 0.6278 0.7794
0.8484 0.3722 0.2206
0.8490 0.6800 0.5289
0.1510 0.3200 0.4711
0.8200 0.1564 0.6423
0.1800 0.8436 0.3577
0.4859 0.8222 0.6423
0.5141 0.1778 0.3577
0.6840 0.8145 0.1777
0.3160 0.1855 0.8223
0.6368 0.5064 0.8223
0.3632 0.4936 0.1777
```

***

No. 2
LiZn2Rh: optimized geometry, PBE-GGA.

Output
- formation energy (eV per atom) = -0.3322
- polymorph energy (0 for the lowest one) (eV/atom) = 0.078
- calculated volume (Å³/f.u.) = 55.0
- N(E_F) (states/eV per atom) = 0.319
- total DFT energy (no corrections) (eV per atom) = -3.29

Structure (POSCAR):
```
LiZn2Rh
1.0
-0.2363 -3.1251 3.6754
1.5734 -4.3232 1.4712
3.3321 0.3746 2.5321
Zn Rh Li
2 1 1
Direct
0.9992 0.9992 0.0178
0.7479 0.7479 0.7372
0.2534 0.2534 0.2330
0.4994 0.4994 0.5120
```

***

No. 3
Pa2MnTc: optimized geometry, PBE-GGA.

Output
- formation energy (eV per atom) = 0.0096
- polymorph energy (0 for the lowest one) (eV/atom) = 0.000
- calculated volume (Å³/f.u.) = 77.1
- N(E_F) (states/eV per atom) = 1.369
- total DFT energy (no corrections) (eV per atom) = -9.62

Structure (POSCAR):
```
Pa2MnTc
1.0
3.4100 0.0000 0.0000
0.0000 3.4100 0.0000
0.0000 0.0000 6.6283
Pa Tc Mn
2 1 1
Direct
0.0000 0.0000 0.7343
0.0000 0.0000 0.2657
0.5000 0.5000 0.0000
0.5000 0.5000 0.5000
```

***

No. 4
Cs2BaTc2O7: optimized geometry, PBE-GGA.

Output
- raw formation energy (eV/atom) = -1.725
- calculated volume (Å³/f.u.) = 197.2
- N(E_F) (states/eV per atom) = 0.403
- total DFT energy (no corrections) (eV per atom) = -6.65

Structure (POSCAR):
```
Cs2BaTc2O7
1.0
-0.8276 -3.0892 -2.4916
3.0743 1.1107 -2.3983
8.5523 -8.0302 3.8171
Cs Ba Tc O
2 1 2 7
Direct
0.8158 0.8158 0.3683
0.1842 0.1842 0.6317
0.0000 0.0000 0.0000
0.5847 0.5847 0.8306
0.4153 0.4153 0.1694
0.5000 0.5000 0.0000
0.3385 0.3385 0.3231
0.6615 0.6615 0.6769
0.9184 0.4184 0.1632
0.4184 0.9184 0.1632
0.5816 0.0816 0.8368
0.0816 0.5816 0.8368
```

***

No. 5
Pr2Ho4ErMg: optimized geometry, PBE-GGA.

Output
- formation energy (eV per atom) = 0.0342
- calculated volume (Å³/f.u.) = 251.3
- N(E_F) (states/eV per atom) = 1.599
- total DFT energy (no corrections) (eV per atom) = -4.22

Structure (POSCAR):
```
Pr2Ho4ErMg
1.0
-1.5644 4.2423 2.0796
1.8635 -1.4632 4.3868
10.7019 2.9185 2.0973
Pr Ho Er Mg
2 4 1 1
Direct
0.0000 0.0000 0.0000
0.5000 0.0000 0.5000
0.0000 0.7502 0.7499
0.0000 0.2498 0.2501
0.5000 0.7494 0.2502
0.5000 0.2506 0.7498
0.0000 0.5000 0.5000
0.5000 0.5000 0.0000
```

***

No. 6
RbHfB: optimized geometry, PBE-GGA.

Output
- formation energy (eV per atom) = 0.8143
- polymorph energy (0 for the lowest one) (eV/atom) = 0.769
- calculated volume (Å³/f.u.) = 85.2
- N(E_F) (states/eV per atom) = 0.998
- total DFT energy (no corrections) (eV per atom) = -5.05

Structure (POSCAR):
```
RbHfB
1.0
3.4071 -1.9671 0.0000
0.0000 3.9342 0.0000
0.0000 0.0000 12.7108
B Hf Rb
2 2 2
Direct
0.3333 0.6667 0.2500
0.6667 0.3333 0.7500
0.3333 0.6667 0.7500
0.6667 0.3333 0.2500
0.0000 0.0000 0.0000
0.0000 0.0000 0.5000
```